# Ce3PuPa3As8 | the Alexandria database | PBE-GGA | relaxed
data_Ce3PuPa3As8
_space_group_name_H-M_alt 'P 1'
_space_group_IT_number 1
_space_group_name_Hall 'P 1'
_cell_length_a 8.2578
_cell_length_b 8.2574
_cell_length_c 8.3029
_cell_angle_alpha 119.82
_cell_angle_beta 90.00
_cell_angle_gamma 120.00
loop_
_atom_site_label
_atom_site_fract_x
_atom_site_fract_y
_atom_site_fract_z
_atom_site_occupancy
Pa1 0.0000 0.5000 0.5000 1
As1 0.7486 0.4971 0.2581 1
As2 0.2514 0.5029 0.7419 1
As3 0.2526 0.5052 0.2578 1
Pa2 0.5000 0.5000 0.5000 1
As4 0.7390 0.9905 0.7419 1
Ce1 0.5000 0.5000 0.0000 1
As5 0.2515 0.9905 0.7419 1
As6 0.2610 0.0095 0.2581 1
Pu1 0.0000 0.0000 0.5000 1
As7 0.7485 0.0095 0.2581 1
As8 0.7474 0.4948 0.7422 1
Ce2 0.0000 0.0000 0.0000 1
Ce3 0.0000 0.5000 0.0000 1
Pa3 0.5000 0.0000 0.5000 1
# Total magnetization: 8.0 μB/cell
# Electronic total energy: -7.58 eV per atom
# Space group: R-3m
# Formation energy: -1.06 eV/atom

***

# Ce2PuPaAs5 | the Alexandria database | PBE-GGA | relaxed
data_Ce2PuPaAs5
_space_group_name_H-M_alt 'P 1'
_space_group_IT_number 1
_space_group_name_Hall 'P 1'
_cell_length_a 5.1410
_cell_length_b 5.1410
_cell_length_c 10.8671
_cell_angle_alpha 90.00
_cell_angle_beta 90.00
_cell_angle_gamma 90.00
loop_
_atom_site_label
_atom_site_fract_x
_atom_site_fract_y
_atom_site_fract_z
_atom_site_occupancy
Ce1 0.5000 0.5000 0.2860 1
As1 0.5000 0.5000 0.0000 1
Ce2 0.5000 0.5000 0.7140 1
Pa1 0.0000 0.0000 0.5000 1
As2 0.0000 0.0000 0.7526 1
As3 0.5000 0.0000 0.5000 1
Pu1 0.0000 0.0000 0.0000 1
As4 0.0000 0.0000 0.2474 1
As5 0.0000 0.5000 0.5000 1
# Total magnetization: 2.7 μB/cell
# Electronic total energy: -7.04 eV per atom
# Space group: P4/mmm
# Formation energy: -0.49 eV/atom

***

# Ce2Pu3PaAs6 | the Alexandria database | PBE-GGA | relaxed
data_Ce2Pu3PaAs6
_space_group_name_H-M_alt 'P 1'
_space_group_IT_number 1
_space_group_name_Hall 'P 1'
_cell_length_a 4.1659
_cell_length_b 8.2948
_cell_length_c 9.2848
_cell_angle_alpha 102.45
_cell_angle_beta 102.96
_cell_angle_gamma 90.00
loop_
_atom_site_label
_atom_site_fract_x
_atom_site_fract_y
_atom_site_fract_z
_atom_site_occupancy
As1 0.9988 0.2444 0.9976 1
Ce1 0.8336 0.6658 0.6671 1
Pu1 0.5000 0.5000 0.0000 1
Pu2 0.8318 0.1658 0.6635 1
Ce2 0.1664 0.3342 0.3329 1
As2 0.3337 0.4136 0.6673 1
As3 0.3356 0.9209 0.6713 1
As4 0.6644 0.0791 0.3287 1
As5 0.6663 0.5864 0.3327 1
Pu3 0.1682 0.8342 0.3365 1
As6 0.0012 0.7556 0.0024 1
Pa1 0.5000 0.0000 0.0000 1
# Total magnetization: 6.2 μB/cell
# Electronic total energy: -8.86 eV per atom
# Space group: C2/m
# Formation energy: -1.17 eV/atom

***

# Ce3PuPa2As6 | the Alexandria database | PBE-GGA | relaxed
data_Ce3PuPa2As6
_space_group_name_H-M_alt 'P 1'
_space_group_IT_number 1
_space_group_name_Hall 'P 1'
_cell_length_a 7.1891
_cell_length_b 7.1891
_cell_length_c 7.2253
_cell_angle_alpha 99.54
_cell_angle_beta 99.54
_cell_angle_gamma 120.01
loop_
_atom_site_label
_atom_site_fract_x
_atom_site_fract_y
_atom_site_fract_z
_atom_site_occupancy
As1 0.4178 0.0810 0.2425 1
As2 0.9190 0.5822 0.7575 1
As3 0.5822 0.9190 0.7575 1
Ce1 0.1656 0.8344 0.5000 1
Pa1 0.3330 0.6670 0.0000 1
Ce2 0.5000 0.5000 0.5000 1
Ce3 0.8344 0.1656 0.5000 1
As4 0.0810 0.4178 0.2425 1
As5 0.7436 0.7436 0.2420 1
Pu1 0.0000 0.0000 0.0000 1
As6 0.2564 0.2564 0.7580 1
Pa2 0.6670 0.3330 0.0000 1
# Total magnetization: 4.1 μB/cell
# Electronic total energy: -7.83 eV per atom
# Space group: C2/m
# Formation energy: -1.24 eV/atom